No. 1
# BaHg, relaxed, DFT PBE
# DFT formation energy (eV/atom): -0.205
# Total DFT energy (no corrections) (eV per formula unit): -2.635
# ρ (g cm⁻³): 5.30
data_BaHg
_cell_length_a 5.8986
_cell_length_b 5.8986
_cell_length_c 7.0282
_cell_angle_alpha 90.00
_cell_angle_beta 90.00
_cell_angle_gamma 120.00
_space_group_name_H-M_alt 'P 63/m m c'
_space_group_IT_number 194
_space_group_name_Hall '-P 6c 2c'
loop_
_atom_site_label
_atom_site_fract_x
_atom_site_fract_y
_atom_site_fract_z
Ba1 0.3333 0.6667 0.2500
Hg1 0.3333 0.6667 0.7500

***

No. 2
# BaHg, relaxed, DFT PBE
# DFT formation energy (eV/atom): -0.297
# Total DFT energy (no corrections) (eV per formula unit): -2.818
# ρ (g cm⁻³): 8.49
data_BaHg
_cell_length_a 5.7254
_cell_length_b 5.7254
_cell_length_c 13.9617
_cell_angle_alpha 90.00
_cell_angle_beta 90.00
_cell_angle_gamma 120.00
_space_group_name_H-M_alt 'R -3 m'
_space_group_IT_number 166
_space_group_name_Hall '-R 3 2"'
loop_
_atom_site_label
_atom_site_fract_x
_atom_site_fract_y
_atom_site_fract_z
Ba1 0.0000 0.0000 0.1255
Hg1 0.0000 0.0000 0.3759

***

No. 3
# BaHg5, relaxed, DFT PBE
# DFT formation energy (eV/atom): -0.279
# Total DFT energy (no corrections) (eV per formula unit): -5.105
# ρ (g cm⁻³): 10.68
data_BaHg5
_cell_length_a 8.917
_cell_length_b 8.917
_cell_length_c 8.917
_cell_angle_alpha 90.00
_cell_angle_beta 90.00
_cell_angle_gamma 90.00
_space_group_name_H-M_alt 'F -4 3 m'
_space_group_IT_number 216
_space_group_name_Hall 'F -4 2 3'
loop_
_atom_site_label
_atom_site_fract_x
_atom_site_fract_y
_atom_site_fract_z
Ba1 0.000 0.000 0.000
Hg1 0.124 0.124 0.376
Hg2 0.250 0.250 0.750

***

No. 4
# Ba4Hg, relaxed, DFT PBE
# DFT formation energy (eV/atom): -0.139
# Total DFT energy (no corrections) (eV per formula unit): -8.690
# ρ (g cm⁻³): 4.06
# Excess energy over the best structure of this formula in the dataset (meV per atom): 62
data_Ba4Hg
_cell_length_a 6.745
_cell_length_b 6.745
_cell_length_c 6.745
_cell_angle_alpha 90.00
_cell_angle_beta 90.00
_cell_angle_gamma 90.00
_space_group_name_H-M_alt 'P m -3 m'
_space_group_IT_number 221
_space_group_name_Hall '-P 4 2 3'
loop_
_atom_site_label
_atom_site_fract_x
_atom_site_fract_y
_atom_site_fract_z
Ba1 0.000 0.000 0.000
Ba2 0.000 0.500 0.500
Hg1 0.500 0.500 0.500

***

No. 5
# BaHg3, relaxed, DFT PBE
# DFT formation energy (eV/atom): -0.346
# Total DFT energy (no corrections) (eV per formula unit): -4.213
# ρ (g cm⁻³): 9.60
data_BaHg3
_cell_length_a 4.235
_cell_length_b 4.289
_cell_length_c 7.128
_cell_angle_alpha 90.00
_cell_angle_beta 99.05
_cell_angle_gamma 90.00
_space_group_name_H-M_alt 'P 1 2/m 1'
_space_group_IT_number 10
_space_group_name_Hall '-P 2y'
loop_
_atom_site_label
_atom_site_fract_x
_atom_site_fract_y
_atom_site_fract_z
Ba1 0.000 0.000 0.000
Hg1 0.000 0.000 0.500
Hg2 0.438 0.500 0.719

***

No. 6
# BaHg, relaxed, DFT PBE
# DFT formation energy (eV/atom): -0.427
# Total DFT energy (no corrections) (eV per formula unit): -3.079
# ρ (g cm⁻³): 6.78
data_BaHg
_cell_length_a 8.978
_cell_length_b 10.642
_cell_length_c 13.851
_cell_angle_alpha 90.00
_cell_angle_beta 90.00
_cell_angle_gamma 90.00
_space_group_name_H-M_alt 'F d d d'
_space_group_IT_number 70
loop_
_space_group_symop_operation_xyz
'x,y,z'
'-x,-y,-z'
'-x+1/4,-y+1/4,z'
'x+1/4,y+1/4,-z'
'x,-y+1/4,-z+1/4'
'-x,y+1/4,z+1/4'
'-x+1/4,y,-z+1/4'
'x+1/4,-y,z+1/4'
'x,y+1/2,z+1/2'
'-x,-y+1/2,-z+1/2'
'-x+1/4,-y+3/4,z+1/2'
'x+1/4,y+3/4,-z+1/2'
'x,-y+3/4,-z+3/4'
'-x,y+3/4,z+3/4'
'-x+1/4,y+1/2,-z+3/4'
'x+1/4,-y+1/2,z+3/4'
'x+1/2,y,z+1/2'
'-x+1/2,-y,-z+1/2'
'-x+3/4,-y+1/4,z+1/2'
'x+3/4,y+1/4,-z+1/2'
'x+1/2,-y+1/4,-z+3/4'
'-x+1/2,y+1/4,z+3/4'
'-x+3/4,y,-z+3/4'
'x+3/4,-y,z+3/4'
'x+1/2,y+1/2,z'
'-x+1/2,-y+1/2,-z'
'-x+3/4,-y+3/4,z'
'x+3/4,y+3/4,-z'
'x+1/2,-y+3/4,-z+1/4'
'-x+1/2,y+3/4,z+1/4'
'-x+3/4,y+1/2,-z+1/4'
'x+3/4,-y+1/2,z+1/4'
loop_
_atom_site_label
_atom_site_fract_x
_atom_site_fract_y
_atom_site_fract_z
Ba1 0.125 0.331 0.125
Hg1 0.053 0.375 0.875